Li2CuW | PBE | optimized geometry

Summary:
The calculation puts the energy of formation from the pure elements at 0.353 eV per atom. As for the total magnetization: 0.00 μB per cell. The energy relative to the lowest polymorph listed for this composition comes out at 0.091 eV per atom. The space group is Pm (6). The value obtained for the density of states at the Fermi level is 2.2 states/eV/cell. For the energy, the calculation gives -4.8666 eV per atom.

Structure (POSCAR):
```
Li2CuW
1.0
4.2106 0.0000 0.0000
0.0000 2.5280 -0.0552
0.0000 1.0710 5.3706
Cu Li W
1 2 1
Direct
0.5000 0.9108 0.7221 Cu
0.0000 0.9014 0.0161 Li
0.5000 0.1910 0.2243 Li
0.0000 0.4968 0.5375 W
```

***

CsLi2CdI6 | PBE | optimized geometry

Summary:
As for the total magnetization: 2.05 μB per cell. The space group is C2/c (15). The value obtained for the density of states at the Fermi level is 0.2 states/eV/cell. For the energy, the calculation gives -2.4000 eV per atom. The formation energy (no corrections) is -0.910 eV/atom.

Structure (POSCAR):
```
CsLi2CdI6
1.0
9.5252 0.3662 0.3800
3.4954 10.7250 -0.7625
3.4954 -1.1595 10.6894
Li I Cs Cd
4 12 2 2
Direct
0.9273 0.5843 0.7448 Li
0.4273 0.7448 0.5843 Li
0.0727 0.4157 0.2552 Li
0.5727 0.2552 0.4157 Li
0.9555 0.3699 0.8529 I
0.4555 0.8529 0.3699 I
0.7082 0.8016 0.9365 I
0.7918 0.0635 0.1984 I
0.3153 0.4032 0.3573 I
0.2082 0.9365 0.8016 I
0.1847 0.6427 0.5968 I
0.8153 0.3573 0.4032 I
0.2918 0.1984 0.0635 I
0.5445 0.1471 0.6301 I
0.6847 0.5968 0.6427 I
0.0445 0.6301 0.1471 I
0.7500 0.1289 0.8711 Cs
0.2500 0.8711 0.1289 Cs
0.2500 0.1764 0.8236 Cd
0.7500 0.8236 0.1764 Cd
```

***

HoTh2WC4 | PBE | optimized geometry

Summary:
The calculation puts the energy of formation from the pure elements at -0.016 eV per atom. As for the total magnetization: 0.00 μB per cell. The space group is Cmcm (63). The value obtained for the density of states at the Fermi level is 6.3 states/eV/cell. For the energy, the calculation gives -8.6741 eV per atom.

Structure (POSCAR):
```
HoTh2WC4
1.0
-0.3742 -1.9010 -3.0163
5.3869 -1.9091 2.6654
-6.5075 -9.1679 6.5852
Th W C Ho
4 2 8 2
Direct
0.6346 0.2693 0.4638 Th
0.3654 0.7307 0.9638 Th
0.6346 0.2693 0.0362 Th
0.3654 0.7307 0.5362 Th
0.8398 0.6797 0.7500 W
0.1602 0.3203 0.2500 W
0.7334 0.4668 0.8629 C
0.0000 0.0000 0.5000 C
0.4287 0.8575 0.7500 C
0.0000 0.0000 0.0000 C
0.7334 0.4668 0.6371 C
0.5713 0.1425 0.2500 C
0.2666 0.5332 0.1371 C
0.2666 0.5332 0.3629 C
0.1139 0.2277 0.7500 Ho
0.8861 0.7723 0.2500 Ho
```

***

VTcTe2I | PBE | optimized geometry

Summary:
As for the total magnetization: 3.72 μB per cell. The energy relative to the lowest polymorph listed for this composition comes out at 0.000 eV per atom. The space group is P4/mmm (123). The value obtained for the density of states at the Fermi level is 7.0 states/eV/cell. For the energy, the calculation gives -4.5995 eV per atom. The formation energy (no corrections) is 0.864 eV/atom.

Structure (POSCAR):
```
VTcTe2I
1.0
5.1280 0.0000 0.0000
0.0000 5.1280 0.0000
0.0000 0.0000 5.7229
Te V Tc I
2 1 1 1
Direct
0.5000 0.0000 0.0000 Te
0.0000 0.5000 0.0000 Te
0.5000 0.5000 0.5000 V
0.0000 0.0000 0.0000 Tc
0.0000 0.0000 0.5000 I
```